A relaxed structure of La2TaBr, computed with GGA-PBEsol.

Values from the calculation:
volume = 103 Å³ per cell
space-group type = Fm-3m, No. 225
crystal system = cubic
energy relative to the elements, uncorrected = 0.22 eV/atom
total magnetic moment = 0.00 Bohr magnetons per cell
distance to the lowest polymorph of the same formula = 424 meV per atom

CIF file:
```
data_La2TaBr
_symmetry_space_group_name_H-M 'P 1'
_symmetry_Int_Tables_number 1
_symmetry_space_group_name_Hall 'P 1'
_cell_length_a 5.268
_cell_length_b 5.268
_cell_length_c 5.268
_cell_angle_alpha 60.00
_cell_angle_beta 60.00
_cell_angle_gamma 60.00
loop_
_atom_site_label
_atom_site_fract_x
_atom_site_fract_y
_atom_site_fract_z
Br1 0.000 0.000 0.000
La1 0.250 0.250 0.250
La2 0.750 0.750 0.750
Ta1 0.500 0.500 0.500
```

---

A relaxed structure of RbLi2Bi2, computed with GGA-PBEsol.

Values from the calculation:
volume = 269 Å³ per cell
space-group type = P4/mbm, No. 127
crystal system = tetragonal
formation energy from the elements = -409 meV/atom
total magnetic moment = 0.00 Bohr magnetons per cell
distance to the lowest polymorph of the same formula = 0 meV per atom

CIF file:
```
data_RbLi2Bi2
_symmetry_space_group_name_H-M 'P 1'
_symmetry_Int_Tables_number 1
_symmetry_space_group_name_Hall 'P 1'
_cell_length_a 3.275
_cell_length_b 9.059
_cell_length_c 9.059
_cell_angle_alpha 90.00
_cell_angle_beta 90.00
_cell_angle_gamma 90.00
loop_
_atom_site_label
_atom_site_fract_x
_atom_site_fract_y
_atom_site_fract_z
Bi1 0.500 0.842 0.342
Bi2 0.500 0.658 0.842
Bi3 0.500 0.158 0.658
Bi4 0.500 0.342 0.158
Li1 0.000 0.626 0.126
Li2 0.000 0.874 0.626
Li3 0.000 0.374 0.874
Li4 0.000 0.126 0.374
Rb1 0.000 0.500 0.500
Rb2 0.000 0.000 0.000
```

---

A relaxed structure of LiScPb, computed with GGA-PBEsol.

Values from the calculation:
volume = 122 Å³ per cell
space-group type = P6_3/mmc, No. 194
crystal system = hexagonal
formation energy from the elements = -477 meV/atom
total magnetic moment = 0.00 Bohr magnetons per cell

CIF file:
```
data_LiScPb
_symmetry_space_group_name_H-M 'P 1'
_symmetry_Int_Tables_number 1
_symmetry_space_group_name_Hall 'P 1'
_cell_length_a 4.606
_cell_length_b 4.606
_cell_length_c 6.631
_cell_angle_alpha 90.00
_cell_angle_beta 90.00
_cell_angle_gamma 120.00
loop_
_atom_site_label
_atom_site_fract_x
_atom_site_fract_y
_atom_site_fract_z
Sc1 0.000 0.000 0.500
Sc2 0.000 0.000 0.000
Pb1 0.667 0.333 0.250
Pb2 0.333 0.667 0.750
Li1 0.333 0.667 0.250
Li2 0.667 0.333 0.750
```

---

A relaxed structure of Pt3Au, computed with GGA-PBEsol.

Values from the calculation:
volume = 62 Å³ per cell
space-group type = Imm2, No. 44
crystal system = orthorhombic
formation energy from the elements = 92 meV/atom
total magnetic moment = 0.00 Bohr magnetons per cell

CIF file:
```
data_Pt3Au
_symmetry_space_group_name_H-M 'P 1'
_symmetry_Int_Tables_number 1
_symmetry_space_group_name_Hall 'P 1'
_cell_length_a 2.753
_cell_length_b 4.804
_cell_length_c 5.448
_cell_angle_alpha 116.16
_cell_angle_beta 104.63
_cell_angle_gamma 90.00
loop_
_atom_site_label
_atom_site_fract_x
_atom_site_fract_y
_atom_site_fract_z
Au1 0.000 0.005 0.000
Pt1 0.247 0.574 0.494
Pt2 0.500 0.508 0.000
Pt3 0.753 0.080 0.506
```

---

A relaxed structure of Zn4CoP, computed with GGA-PBEsol.

Values from the calculation:
volume = 81 Å³ per cell
space-group type = F-43m, No. 216
crystal system = cubic
formation energy from the elements = 293 meV/atom
total magnetic moment = 0.00 Bohr magnetons per cell

CIF file:
```
data_Zn4CoP
_symmetry_space_group_name_H-M 'P 1'
_symmetry_Int_Tables_number 1
_symmetry_space_group_name_Hall 'P 1'
_cell_length_a 4.859
_cell_length_b 4.859
_cell_length_c 4.859
_cell_angle_alpha 60.00
_cell_angle_beta 60.00
_cell_angle_gamma 60.00
loop_
_atom_site_label
_atom_site_fract_x
_atom_site_fract_y
_atom_site_fract_z
Zn1 0.376 0.873 0.376
Zn2 0.376 0.376 0.873
Zn3 0.376 0.376 0.376
Zn4 0.873 0.376 0.376
Co1 0.750 0.750 0.750
P1 0.000 0.000 0.000
```

---

A relaxed structure of Mg2AsPb, computed with GGA-PBEsol.

Values from the calculation:
volume = 96 Å³ per cell
space-group type = Cm, No. 8
crystal system = monoclinic
formation energy from the elements = -234 meV/atom
total magnetic moment = 0.00 Bohr magnetons per cell
distance to the lowest polymorph of the same formula = 0 meV per atom

CIF file:
```
data_Mg2AsPb
_symmetry_space_group_name_H-M 'P 1'
_symmetry_Int_Tables_number 1
_symmetry_space_group_name_Hall 'P 1'
_cell_length_a 4.159
_cell_length_b 4.135
_cell_length_c 6.857
_cell_angle_alpha 107.22
_cell_angle_beta 90.00
_cell_angle_gamma 120.19
loop_
_atom_site_label
_atom_site_fract_x
_atom_site_fract_y
_atom_site_fract_z
Mg1 0.935 0.870 0.804
Mg2 0.732 0.464 0.194
As1 0.334 0.669 0.002
Pb1 0.499 0.997 0.500
```